*w*
# NdMg2Sn3

An optimized crystal structure of NdMg2Sn3 (GGA-PBE, Alexandria via LeMat-Bulk).

## Properties
- Crystal system: orthorhombic
- Space-group type: Cmcm (63)

a b c (Å): 7.761 7.761 5.943
angles (deg): 90.00 90.00 89.37
Positions (direct):
Nd 0.172 0.828 0.750
Nd 0.828 0.172 0.250
Mg 0.340 0.340 0.000
Mg 0.340 0.340 0.500
Mg 0.660 0.660 0.000
Mg 0.660 0.660 0.500
Sn 0.031 0.253 0.750
Sn 0.253 0.031 0.250
Sn 0.340 0.660 0.250
Sn 0.660 0.340 0.750
Sn 0.747 0.969 0.750
Sn 0.969 0.747 0.250


*x*
# NdMg2Sn3

An optimized crystal structure of NdMg2Sn3 (GGA-PBE, Alexandria via LeMat-Bulk).

## Properties
- Crystal system: orthorhombic
- Space-group type: Cmmm (65)

a b c (Å): 7.619 7.619 4.424
angles (deg): 90.00 90.00 143.67
Positions (direct):
Nd 0.000 0.000 0.000
Mg 0.328 0.672 0.000
Mg 0.672 0.328 0.000
Sn 0.172 0.828 0.500
Sn 0.500 0.500 0.500
Sn 0.828 0.172 0.500


Taking the most stable structure as the zero point, the relative energies in eV/atom are *w* 0.279; *x* 0.000.


*w*
# Nd3Mg2Sn4

An optimized crystal structure of Nd3Mg2Sn4 (GGA-PBE, Alexandria via LeMat-Bulk).

## Properties
- Crystal system: triclinic
- Space-group type: P-1 (2)

a b c (Å): 4.701 7.147 8.555
angles (deg): 109.74 105.90 90.08
Positions (direct):
Nd 0.000 0.000 0.000
Nd 0.132 0.605 0.265
Nd 0.868 0.395 0.735
Mg 0.329 0.005 0.659
Mg 0.671 0.995 0.341
Sn 0.215 0.247 0.428
Sn 0.493 0.695 0.986
Sn 0.507 0.305 0.014
Sn 0.785 0.753 0.572


*x*
# Nd3Mg2Sn4

An optimized crystal structure of Nd3Mg2Sn4 (GGA-PBE, Alexandria via LeMat-Bulk).

## Properties
- Crystal system: monoclinic
- Space-group type: C2/m (12)

a b c (Å): 6.622 6.622 9.408
angles (deg): 111.41 111.41 40.99
Positions (direct):
Nd 0.000 0.000 0.000
Nd 0.375 0.375 0.309
Nd 0.625 0.625 0.691
Mg 0.312 0.312 0.643
Mg 0.688 0.688 0.357
Sn 0.074 0.074 0.392
Sn 0.294 0.294 0.935
Sn 0.706 0.706 0.065
Sn 0.926 0.926 0.608


Taking the most stable structure as the zero point, the relative energies in eV/atom are *w* 0.015; *x* 0.000.


*w*
# NdMg2Sn2

An optimized crystal structure of NdMg2Sn2 (GGA-PBE, Alexandria via LeMat-Bulk).

## Properties
- Crystal system: monoclinic
- Space-group type: C2/m (12)

a b c (Å): 7.217 7.217 4.501
angles (deg): 107.54 107.54 36.33
Positions (direct):
Nd 0.000 0.000 0.000
Mg 0.250 0.250 0.751
Mg 0.750 0.750 0.249
Sn 0.391 0.391 0.388
Sn 0.609 0.609 0.612


*x*
# NdMg2Sn2

An optimized crystal structure of NdMg2Sn2 (GGA-PBE, Alexandria via LeMat-Bulk).

## Properties
- Crystal system: hexagonal
- Space-group type: P6_3/mmc (194)

a b c (Å): 5.050 5.050 12.962
angles (deg): 90.00 90.00 120.00
Positions (direct):
Nd 0.000 0.000 0.250
Nd 0.000 0.000 0.750
Mg 0.000 0.000 0.000
Mg 0.000 0.000 0.500
Mg 0.333 0.667 0.250
Mg 0.667 0.333 0.750
Sn 0.333 0.667 0.626
Sn 0.333 0.667 0.874
Sn 0.667 0.333 0.126
Sn 0.667 0.333 0.374


Taking the most stable structure as the zero point, the relative energies in eV/atom are *w* 0.000; *x* 0.347.